No. 1
Entry from Alexandria: crystalline La2PrYIn2 at its relaxed geometry (PBE).

Cell: 5.2667 10.3583 6.9198 Å, 90.00 90.00 90.00°
Closest atoms and distances in Å follow each position.
Fractional positions:
La: 0.0000 0.0574 0.0000  4 La 3.33-3.66, 5 In 3.41-3.69
La: 0.0000 0.9426 0.5000  4 La 3.33-3.66, 5 In 3.41-3.69
La: 0.5000 0.1780 0.2329  2 La 3.33, 5 In 3.36-3.59
La: 0.5000 0.8220 0.7329  2 La 3.33, 5 In 3.36-3.59
Pr: 0.5000 0.4582 0.8771  5 In 3.31-3.52, 2 Pr 3.57, 2 Y 3.61
Pr: 0.5000 0.5418 0.3771  5 In 3.31-3.52, 2 Pr 3.57, 2 Y 3.61
Y: 0.0000 0.3089 0.6002  4 In 3.22-3.26, 2 Pr 3.61
Y: 0.0000 0.6911 0.1002  4 In 3.22-3.26, 2 Pr 3.61
In: 0.0000 0.3794 0.1416  2 Y 3.24-3.26, 4 Pr 3.31-3.52, 3 La 3.42-3.48
In: 0.0000 0.6206 0.6416  2 Y 3.24-3.26, 4 Pr 3.31-3.52, 3 La 3.42-3.48
In: 0.5000 0.1467 0.7159  2 Y 3.22, 5 La 3.36-3.59, 1 Pr 3.41
In: 0.5000 0.8533 0.2159  2 Y 3.22, 5 La 3.36-3.59, 1 Pr 3.41

**Space-group type**: No. 26
**Total DFT energy (no corrections)**: -4.795 eV/atom

***

No. 2
Entry from Alexandria: crystalline La2Pr2YIn5 at its relaxed geometry (PBE).

Cell: 11.2628 11.2628 4.7218 Å, 90.00 90.00 90.00°
Closest atoms and distances in Å follow each position.
Fractional positions:
La: 0.1764 0.3236 0.0000  1 Pr 3.08
La: 0.3236 0.8236 0.0000  1 Pr 3.08
La: 0.6764 0.1764 0.0000  1 Pr 3.08
La: 0.8236 0.6764 0.0000  1 Pr 3.08
Pr: 0.1303 0.6303 0.0000  1 La 3.08, 6 In 3.14-3.22
Pr: 0.3697 0.1303 0.0000  1 La 3.08, 6 In 3.14-3.22
Pr: 0.6303 0.8697 0.0000  1 La 3.08, 6 In 3.14-3.22
Pr: 0.8697 0.3697 0.0000  1 La 3.08, 6 In 3.14-3.22
Y: 0.0000 0.0000 0.0000  8 In 3.24
Y: 0.5000 0.5000 0.0000  8 In 3.24
In: 0.0000 0.5000 0.5000  4 Pr 3.14
In: 0.0570 0.8108 0.5000  2 In 3.15, 2 Pr 3.22, 2 Y 3.24
In: 0.1892 0.0570 0.5000  2 In 3.15, 2 Pr 3.22, 2 Y 3.24
In: 0.3108 0.5570 0.5000  2 In 3.15, 2 Pr 3.22, 2 Y 3.24
In: 0.4430 0.3108 0.5000  2 In 3.15, 2 Pr 3.22, 2 Y 3.24
In: 0.5000 0.0000 0.5000  4 Pr 3.14
In: 0.5570 0.6892 0.5000  2 In 3.15, 2 Pr 3.22, 2 Y 3.24
In: 0.6892 0.4430 0.5000  2 In 3.15, 2 Pr 3.22, 2 Y 3.24
In: 0.8108 0.9430 0.5000  2 In 3.15, 2 Pr 3.22, 2 Y 3.24
In: 0.9430 0.1892 0.5000  2 In 3.15, 2 Pr 3.22, 2 Y 3.24

**Space-group type**: No. 127
**Total DFT energy (no corrections)**: -4.314 eV/atom

***

No. 3
Entry from Alexandria: crystalline LaPrZn2In2 at its relaxed geometry (PBE).

Cell: 4.7785 4.7785 7.7988 Å, 90.00 90.00 120.00°
Closest atoms and distances in Å follow each position.
Fractional positions:
La: 0.0000 0.0000 0.0000  6 In 3.41, 6 Zn 3.48
Pr: 0.0000 0.0000 0.5000  6 Zn 3.29, 6 In 3.34
Zn: 0.3333 0.6667 0.2712  3 In 2.76
Zn: 0.6667 0.3333 0.7288  3 In 2.76
In: 0.3333 0.6667 0.7423  3 Zn 2.76
In: 0.6667 0.3333 0.2577  3 Zn 2.76

**Space-group type**: No. 164
**Total DFT energy (no corrections)**: -3.410 eV/atom

***

No. 4
Entry from Alexandria: crystalline LaPrZnIn at its relaxed geometry (PBE).

Cell: 5.4511 5.4511 5.4511 Å, 60.00 60.00 60.00°
Closest atoms and distances in Å follow each position.
Fractional positions:
La: 0.0000 0.0000 0.0000  4 In 3.34, 4 Zn 3.34
Pr: 0.5000 0.5000 0.5000  4 In 3.34, 4 Zn 3.34
Zn: 0.2500 0.2500 0.2500  4 La 3.34, 4 Pr 3.34
In: 0.7500 0.7500 0.7500  4 La 3.34, 4 Pr 3.34

**Space-group type**: No. 216
**Total DFT energy (no corrections)**: -3.819 eV/atom

***

No. 5
Entry from Alexandria: crystalline LaPr2Zn2In2 at its relaxed geometry (PBE).

Cell: 9.9940 9.9940 9.9940 Å, 27.81 27.81 27.81°
Closest atoms and distances in Å follow each position.
Fractional positions:
La: 0.0000 0.0000 0.0000  6 In 3.42, 6 Zn 3.47, 2 Pr 3.73
Pr: 0.1295 0.1295 0.1295  3 Zn 3.22, 3 In 3.27, 3 Pr 3.50
Pr: 0.8705 0.8705 0.8705  3 Zn 3.22, 3 In 3.27, 3 Pr 3.50
Zn: 0.4060 0.4060 0.4060  3 In 2.77
Zn: 0.5940 0.5940 0.5940  3 In 2.77
In: 0.2637 0.2637 0.2637  3 Zn 2.77
In: 0.7363 0.7363 0.7363  3 Zn 2.77

**Space-group type**: No. 166
**Total DFT energy (no corrections)**: -3.535 eV/atom

***

No. 6
Entry from Alexandria: crystalline La2PrZn2In2 at its relaxed geometry (PBE).

Cell: 9.9969 9.9969 9.9969 Å, 27.19 27.19 27.19°
Closest atoms and distances in Å follow each position.
Fractional positions:
La: 0.1377 0.1377 0.1377  3 La 3.19, 3 Zn 3.27, 3 In 3.37
La: 0.8623 0.8623 0.8623  3 La 3.19, 3 Zn 3.27, 3 In 3.37
Pr: 0.0000 0.0000 0.0000  6 In 3.36, 6 Zn 3.46
Zn: 0.4080 0.4080 0.4080  3 In 2.72
Zn: 0.5920 0.5920 0.5920  3 In 2.72
In: 0.2647 0.2647 0.2647  3 Zn 2.72
In: 0.7353 0.7353 0.7353  3 Zn 2.72

**Space-group type**: No. 166
**Total DFT energy (no corrections)**: -3.572 eV/atom

***

No. 7
Entry from Alexandria: crystalline La5Pr2Zn2In at its relaxed geometry (PBE).

Cell: 12.7865 12.7865 4.0276 Å, 90.00 90.00 90.00°
Closest atoms and distances in Å follow each position.
Fractional positions:
La: 0.0000 0.5000 0.0000  4 Zn 3.08
La: 0.0558 0.2024 0.0000  2 Zn 3.10, 2 In 3.36
La: 0.2024 0.9442 0.0000  2 Zn 3.10, 2 In 3.36
La: 0.2976 0.4442 0.0000  2 Zn 3.10, 2 In 3.36
La: 0.4442 0.7024 0.0000  2 Zn 3.10, 2 In 3.36
La: 0.5000 0.0000 0.0000  4 Zn 3.08
La: 0.5558 0.2976 0.0000  2 Zn 3.10, 2 In 3.36
La: 0.7024 0.5558 0.0000  2 Zn 3.10, 2 In 3.36
La: 0.7976 0.0558 0.0000  2 Zn 3.10, 2 In 3.36
La: 0.9442 0.7976 0.0000  2 Zn 3.10, 2 In 3.36
Pr: 0.1804 0.6804 0.5000  1 Zn 3.45, 2 La 3.83
Pr: 0.3196 0.1804 0.5000  1 Zn 3.45, 2 La 3.83
Pr: 0.6804 0.8196 0.5000  1 Zn 3.45, 2 La 3.83
Pr: 0.8196 0.3196 0.5000  1 Zn 3.45, 2 La 3.83
Zn: 0.1288 0.3712 0.5000  6 La 3.08-3.10
Zn: 0.3712 0.8712 0.5000  6 La 3.08-3.10
Zn: 0.6288 0.1288 0.5000  6 La 3.08-3.10
Zn: 0.8712 0.6288 0.5000  6 La 3.08-3.10
In: 0.0000 0.0000 0.5000  8 La 3.36
In: 0.5000 0.5000 0.5000  8 La 3.36

**Space-group type**: No. 127
**Total DFT energy (no corrections)**: -4.134 eV/atom

***

No. 8
Entry from Alexandria: crystalline La2Pr5Zn2In at its relaxed geometry (PBE).

Cell: 12.7509 12.7509 3.9596 Å, 90.00 90.00 90.00°
Closest atoms and distances in Å follow each position.
Fractional positions:
La: 0.1821 0.3179 0.0000  1 Zn 3.41
La: 0.3179 0.8179 0.0000  1 Zn 3.41
La: 0.6821 0.1821 0.0000  1 Zn 3.41
La: 0.8179 0.6821 0.0000  1 Zn 3.41
Pr: 0.0000 0.5000 0.5000  4 Zn 3.05
Pr: 0.0545 0.7976 0.5000  2 Zn 3.07, 2 In 3.33
Pr: 0.2024 0.0545 0.5000  2 Zn 3.07, 2 In 3.33
Pr: 0.2976 0.5545 0.5000  2 Zn 3.07, 2 In 3.33
Pr: 0.4455 0.2976 0.5000  2 Zn 3.07, 2 In 3.33
Pr: 0.5000 0.0000 0.5000  4 Zn 3.05
Pr: 0.5545 0.7024 0.5000  2 Zn 3.07, 2 In 3.33
Pr: 0.7024 0.4455 0.5000  2 Zn 3.07, 2 In 3.33
Pr: 0.7976 0.9455 0.5000  2 Zn 3.07, 2 In 3.33
Pr: 0.9455 0.2024 0.5000  2 Zn 3.07, 2 In 3.33
Zn: 0.1287 0.6287 0.0000  6 Pr 3.05-3.07, 1 La 3.41
Zn: 0.3713 0.1287 0.0000  6 Pr 3.05-3.07, 1 La 3.41
Zn: 0.6287 0.8713 0.0000  6 Pr 3.05-3.07, 1 La 3.41
Zn: 0.8713 0.3713 0.0000  6 Pr 3.05-3.07, 1 La 3.41
In: 0.0000 0.0000 0.0000  8 Pr 3.33
In: 0.5000 0.5000 0.0000  8 Pr 3.33

**Space-group type**: No. 127
**Total DFT energy (no corrections)**: -4.089 eV/atom

***

Among the records above, which one has the lowest total DFT energy (no corrections)? La2PrYIn2

***

What is the formula in the fifth record? LaPr2Zn2In2

***

Which value of total DFT energy (no corrections) does entry 4 give? -3.819 eV/atom

***

Copy entry 4 word for word.
Entry from Alexandria: crystalline LaPrZnIn at its relaxed geometry (PBE).

Cell: 5.4511 5.4511 5.4511 Å, 60.00 60.00 60.00°
Closest atoms and distances in Å follow each position.
Fractional positions:
La: 0.0000 0.0000 0.0000  4 In 3.34, 4 Zn 3.34
Pr: 0.5000 0.5000 0.5000  4 In 3.34, 4 Zn 3.34
Zn: 0.2500 0.2500 0.2500  4 La 3.34, 4 Pr 3.34
In: 0.7500 0.7500 0.7500  4 La 3.34, 4 Pr 3.34

**Space-group type**: No. 216
**Total DFT energy (no corrections)**: -3.819 eV/atom